Record 1
LiPm6Cu5 | PBE | relaxed

Cell and atoms, written as POSCAR:
```
LiPm6Cu5
1.0
4.9712 0.0020 -1.0444
-0.0031 7.1508 -0.0007
-0.9307 0.0004 8.0171
Pm Cu Li
6 5 1
Direct
0.8295 0.7470 0.6582
0.8294 0.2530 0.6581
0.5000 0.2612 0.0000
0.5000 0.7388 0.0000
0.1706 0.7470 0.3419
0.1705 0.2530 0.3418
0.6665 0.5000 0.3338
0.3482 0.0000 0.6912
0.0000 0.5000 0.0000
0.6518 0.0000 0.3088
0.3335 0.5000 0.6662
0.0000 0.0000 0.0000
```

Properties
symmetry = P2/m
Fermi-level density of states = 0.807 states/eV/atom
E_tot = -4.36 eV per atom
formation energy = -0.1176 eV per atom

Record 2
LiPmCu2 | PBE | relaxed

Cell and atoms, written as POSCAR:
```
LiPmCu2
1.0
4.7534 0.0000 0.0000
2.3767 4.1166 0.0000
2.3767 1.3722 3.8811
Li Cu Pm
1 2 1
Direct
0.5000 0.5000 0.5000
0.2500 0.2500 0.2500
0.7500 0.7500 0.7500
0.0000 0.0000 0.0000
```

Properties
distance to the lowest polymorph of the same formula = 68 meV/atom
symmetry = Fm-3m
Fermi-level density of states = 0.724 states/eV/atom
E_tot = -3.76 eV per atom
formation energy = -0.0493 eV per atom

Record 3
Li2Pm3Cu4 | PBE | relaxed

Cell and atoms, written as POSCAR:
```
Li2Pm3Cu4
1.0
4.2370 0.0000 0.0000
-2.1185 5.0274 0.0655
0.0000 -1.2256 8.6449
Li Pm Cu
2 3 4
Direct
0.3208 0.6417 0.2167
0.6792 0.3583 0.7833
0.3741 0.7483 0.6230
0.0000 0.0000 0.0000
0.6259 0.2517 0.3770
0.7251 0.4502 0.0755
0.0816 0.1632 0.6314
0.9184 0.8368 0.3686
0.2749 0.5498 0.9245
```

Properties
distance to the lowest polymorph of the same formula = 0 meV/atom
symmetry = C2/m
Fermi-level density of states = 0.729 states/eV/atom
E_tot = -3.93 eV per atom
formation energy = -0.1046 eV per atom

Record 4
LiPmCu3 | PBE | relaxed

Cell and atoms, written as POSCAR:
```
LiPmCu3
1.0
-1.4458 3.8980 -0.3593
-2.9242 -1.2459 -1.7505
-4.3617 -0.5627 11.4476
Li Pm Cu
2 2 6
Direct
0.2500 0.7897 0.5795
0.7500 0.2103 0.4205
0.2500 0.0784 0.1569
0.7500 0.9216 0.8431
0.2500 0.3700 0.7399
0.7500 0.6300 0.2601
0.2500 0.4731 0.9462
0.7500 0.5269 0.0538
0.7500 0.3186 0.6372
0.2500 0.6814 0.3628
```

Properties
symmetry = Cmcm
Fermi-level density of states = 0.615 states/eV/atom
E_tot = -3.86 eV per atom
formation energy = -0.0735 eV per atom

Question: Look up the E_tot of the first one.
Answer: -4.36 eV per atom